The following is a DFT calculation (GGA-PBE) of an optimized crystal structure of Gd2ThCd.

The structure in POSCAR format:
```
Gd2ThCd
1.0
3.611 0.000 0.000
0.000 3.611 0.000
0.000 0.000 9.040
Gd Th Cd
2 1 1
Cartesian
0.000 0.000 2.097
0.000 0.000 6.943
1.805 1.805 4.520
1.805 1.805 0.000
```

formation energy	-0.1671	eV per atom
excess energy over the best structure of this formula in the dataset	0	meV/atom
total DFT energy (no corrections)	-0.3414	Ha/atom